This record from Alexandria describes a relaxed structure of NaEuH. The functional is GGA-PBE.

The space group is P3m1 (No. 156) and the conventional cell measures 3.7242, 3.7242 and 6.3603 Å, with angles of 90.00, 90.00 and 120.00 degrees. The distinct sites, in fractional coordinates, are Na at (0.0000, 0.0000, 0.0000), Eu at (0.6667, 0.3333, 0.5097) and H at (0.3333, 0.6667, 0.6805).

The value obtained for the raw total energy is -5.106 eV/atom. The energy above the most stable polymorph in this dataset is 0 meV/atom. The calculation puts the total magnetic moment at 7.50 μB/cell. Its crystal system is trigonal.

---

This record from Alexandria describes a relaxed structure of NdEuH. The functional is GGA-PBE.

The space group is Cm (No. 8) and the conventional cell measures 12.9281, 3.6846 and 8.9784 Å, with angles of 90.00, 132.56 and 90.00 degrees. The distinct sites, in fractional coordinates, are Nd at (0.0000, 0.0000, 0.0000), Nd at (0.1947, 0.0000, 0.8542), Eu at (0.3259, 0.0000, 0.5226), Eu at (0.4959, 0.0000, 0.3495), H at (0.2443, 0.0000, 0.1652) and H at (0.3533, 0.5000, 0.0682).

The value obtained for the raw total energy is -6.257 eV/atom. The energy above the most stable polymorph in this dataset is 63 meV/atom. The calculation puts the total magnetic moment at 0.08 μB/cell. Its crystal system is monoclinic.

---

This record from Alexandria describes a relaxed structure of NdEuH. The functional is GGA-PBE.

The space group is P3m1 (No. 156) and the conventional cell measures 3.7546, 3.7546 and 6.0864 Å, with angles of 90.00, 90.00 and 120.00 degrees. The distinct sites, in fractional coordinates, are Nd at (0.0000, 0.0000, 0.0000), Eu at (0.3333, 0.6667, 0.4766) and H at (0.6667, 0.3333, 0.2242).

The value obtained for the raw total energy is -6.320 eV/atom. The energy above the most stable polymorph in this dataset is 0 meV/atom. The calculation puts the total magnetic moment at 7.65 μB/cell. Its crystal system is trigonal.

---

This record from Alexandria describes a relaxed structure of NdEuH2. The functional is GGA-PBE.

The space group is R-3m (No. 166, hexagonal axes) and the conventional cell measures 3.6349, 3.6349 and 18.0377 Å, with angles of 90.00, 90.00 and 120.00 degrees. The distinct sites, in fractional coordinates, are Nd at (0.0000, 0.0000, 0.0000), Eu at (0.0000, 0.0000, 0.5000) and H at (0.0000, 0.0000, 0.2549).

The value obtained for the raw total energy is -5.805 eV/atom. The calculation puts the total magnetic moment at 22.02 μB/cell. Its crystal system is trigonal.

---

This record from Alexandria describes a relaxed structure of NdEuH. The functional is GGA-PBE.

The space group is I4mm (No. 107) and the conventional cell measures 3.4976, 3.4976 and 12.6303 Å, with angles of 90.00, 90.00 and 90.00 degrees. The distinct sites, in fractional coordinates, are Nd at (0.0000, 0.0000, 0.0000), Eu at (0.0000, 0.0000, 0.2804) and H at (0.0000, 0.0000, 0.4743).

The value obtained for the raw total energy is -6.211 eV/atom. The energy above the most stable polymorph in this dataset is 109 meV/atom. The calculation puts the total magnetic moment at 14.77 μB/cell. Its crystal system is tetragonal.

---

This record from Alexandria describes a relaxed structure of NdEu3H. The functional is GGA-PBE.

The space group is Pm-3m (No. 221) and the conventional cell measures 5.3321, 5.3321 and 5.3321 Å, with angles of 90.00, 90.00 and 90.00 degrees. The distinct sites, in fractional coordinates, are Nd at (0.0000, 0.0000, 0.0000), Eu at (0.0000, 0.5000, 0.5000) and H at (0.5000, 0.5000, 0.5000).

The value obtained for the raw total energy is -7.901 eV/atom. The calculation puts the total magnetic moment at 22.68 μB/cell. Its crystal system is cubic.

---

This record from Alexandria describes a relaxed structure of EuNi2H. The functional is GGA-PBE.

The space group is R-3m (No. 166, hexagonal axes) and the conventional cell measures 2.9626, 2.9626 and 21.3639 Å, with angles of 90.00, 90.00 and 120.00 degrees. The distinct sites, in fractional coordinates, are Eu at (0.0000, 0.0000, 0.0000), Ni at (0.0000, 0.0000, 0.1247) and H at (0.0000, 0.0000, 0.5000).

The value obtained for the raw total energy is -5.800 eV/atom. The calculation puts the total magnetic moment at 22.42 μB/cell. Its crystal system is trigonal.

---

This record from Alexandria describes a relaxed structure of EuNiH2. The functional is GGA-PBE.

The space group is R-3m (No. 166, hexagonal axes) and the conventional cell measures 3.6597, 3.6597 and 12.0305 Å, with angles of 90.00, 90.00 and 120.00 degrees. The distinct sites, in fractional coordinates, are Eu at (0.0000, 0.0000, 0.0000), Ni at (0.0000, 0.0000, 0.5000) and H at (0.0000, 0.0000, 0.2135).

The value obtained for the raw total energy is -5.667 eV/atom. The energy above the most stable polymorph in this dataset is 0 meV/atom. The calculation puts the total magnetic moment at 19.90 μB/cell. Its crystal system is trigonal.

---

This record from Alexandria describes a relaxed structure of EuNiH2. The functional is GGA-PBE.

The space group is P4/mmm (No. 123) and the conventional cell measures 2.9411, 2.9411 and 5.4156 Å, with angles of 90.00, 90.00 and 90.00 degrees. The distinct sites, in fractional coordinates, are Eu at (0.0000, 0.0000, 0.0000), Ni at (0.0000, 0.0000, 0.5000) and H at (0.5000, 0.5000, 0.2612).

The value obtained for the raw total energy is -5.271 eV/atom. The energy above the most stable polymorph in this dataset is 396 meV/atom. The calculation puts the total magnetic moment at 6.86 μB/cell. Its crystal system is tetragonal.

---

This record from Alexandria describes a relaxed structure of EuNiH. The functional is GGA-PBE.

The space group is Cmcm (No. 63) and the conventional cell measures 3.8758, 13.2067 and 3.8444 Å, with angles of 90.00, 90.00 and 90.00 degrees. The distinct sites, in fractional coordinates, are Eu at (0.0000, 0.1327, 0.2500), Ni at (0.0000, 0.4459, 0.2500) and H at (0.0000, 0.3237, 0.2500).

The value obtained for the raw total energy is -6.781 eV/atom. The energy above the most stable polymorph in this dataset is 0 meV/atom. The calculation puts the total magnetic moment at 27.91 μB/cell. Its crystal system is orthorhombic.

---

This record from Alexandria describes a relaxed structure of EuNiH. The functional is GGA-PBE.

The space group is P-6m2 (No. 187) and the conventional cell measures 3.7785, 3.7785 and 3.7142 Å, with angles of 90.00, 90.00 and 120.00 degrees. The distinct sites, in fractional coordinates, are Eu at (0.0000, 0.0000, 0.0000), Ni at (0.6667, 0.3333, 0.5000) and H at (0.3333, 0.6667, 0.5000).

The value obtained for the raw total energy is -6.417 eV/atom. The energy above the most stable polymorph in this dataset is 364 meV/atom. The calculation puts the total magnetic moment at 6.80 μB/cell. Its crystal system is hexagonal.

---

This record from Alexandria describes a relaxed structure of Eu2HO. The functional is GGA-PBE.

The space group is R-3m (No. 166, hexagonal axes) and the conventional cell measures 3.6497, 3.6497 and 17.9358 Å, with angles of 90.00, 90.00 and 120.00 degrees. The distinct sites, in fractional coordinates, are Eu at (0.0000, 0.0000, 0.2452), H at (0.0000, 0.0000, 0.0000) and O at (0.0000, 0.0000, 0.5000).

The value obtained for the raw total energy is -8.749 eV/atom. The energy above the most stable polymorph in this dataset is 0 meV/atom. The calculation puts the total magnetic moment at 45.01 μB/cell. Its crystal system is trigonal.

---

This record from Alexandria describes a relaxed structure of EuH3O3. The functional is GGA-PBE.

The space group is P6_3/m (No. 176) and the conventional cell measures 6.4733, 6.4733 and 3.6750 Å, with angles of 90.00, 90.00 and 120.00 degrees. The distinct sites, in fractional coordinates, are Eu at (0.3333, 0.6667, 0.2500), H at (0.1365, 0.8577, 0.7500) and O at (0.0842, 0.3917, 0.7500).

The value obtained for the raw total energy is -6.658 eV/atom. The calculation puts the total magnetic moment at 12.00 μB/cell. Its crystal system is hexagonal.

---

This record from Alexandria describes a relaxed structure of Eu2HO. The functional is GGA-PBE.

The space group is P4/mmm (No. 123) and the conventional cell measures 3.1730, 3.1730 and 6.3432 Å, with angles of 90.00, 90.00 and 90.00 degrees. The distinct sites, in fractional coordinates, are Eu at (0.0000, 0.0000, 0.2358), H at (0.5000, 0.5000, 0.5000) and O at (0.5000, 0.5000, 0.0000).

The value obtained for the raw total energy is -8.339 eV/atom. The energy above the most stable polymorph in this dataset is 410 meV/atom. The calculation puts the total magnetic moment at 15.00 μB/cell. Its crystal system is tetragonal.

---

This record from Alexandria describes a relaxed structure of EuHO3. The functional is GGA-PBE.

The space group is P2_1/m (No. 11) and the conventional cell measures 5.4449, 3.7440 and 6.1465 Å, with angles of 90.00, 111.72 and 90.00 degrees. The distinct sites, in fractional coordinates, are Eu at (0.1919, 0.2500, 0.2788), H at (0.3903, 0.2500, 0.7871), O at (0.0995, 0.2500, 0.8860), O at (0.1317, 0.7500, 0.5327) and O at (0.4925, 0.7500, 0.3036).

The value obtained for the raw total energy is -7.047 eV/atom. The calculation puts the total magnetic moment at 8.00 μB/cell. Its crystal system is monoclinic.

---

This record from Alexandria describes a relaxed structure of Eu12H5Os3. The functional is GGA-PBE.

The space group is Ia-3d (No. 230) and the conventional cell measures 15.6666, 15.6666 and 15.6666 Å, with angles of 90.00, 90.00 and 90.00 degrees. The distinct sites, in fractional coordinates, are Eu at (0.0291, 0.0591, 0.6538), H at (0.0000, 0.0000, 0.0000), H at (0.0000, 0.2500, 0.3750) and Os at (0.0000, 0.2500, 0.1250).

The value obtained for the raw total energy is -8.794 eV/atom. The calculation puts the total magnetic moment at 689.14 μB/cell. Its crystal system is cubic.

---

This record from Alexandria describes a relaxed structure of Eu12P3H5. The functional is GGA-PBE.

The space group is Ia-3d (No. 230) and the conventional cell measures 15.8539, 15.8539 and 15.8539 Å, with angles of 90.00, 90.00 and 90.00 degrees. The distinct sites, in fractional coordinates, are Eu at (0.0327, 0.0604, 0.6537), P at (0.0000, 0.2500, 0.1250), H at (0.0000, 0.0000, 0.0000) and H at (0.0000, 0.2500, 0.3750).

The value obtained for the raw total energy is -8.380 eV/atom. The calculation puts the total magnetic moment at 749.78 μB/cell. Its crystal system is cubic.

---

This record from Alexandria describes a relaxed structure of EuPH2. The functional is GGA-PBE.

The space group is R-3m (No. 166, hexagonal axes) and the conventional cell measures 4.2449, 4.2449 and 9.9981 Å, with angles of 90.00, 90.00 and 120.00 degrees. The distinct sites, in fractional coordinates, are Eu at (0.0000, 0.0000, 0.0000), P at (0.0000, 0.0000, 0.5000) and H at (0.0000, 0.0000, 0.3324).

The value obtained for the raw total energy is -5.968 eV/atom. The calculation puts the total magnetic moment at 18.44 μB/cell. Its crystal system is trigonal.

---

This record from Alexandria describes a relaxed structure of EuPa2H. The functional is GGA-PBE.

The space group is R-3m (No. 166, hexagonal axes) and the conventional cell measures 3.2103, 3.2103 and 28.8023 Å, with angles of 90.00, 90.00 and 120.00 degrees. The distinct sites, in fractional coordinates, are Eu at (0.0000, 0.0000, 0.0000), Pa at (0.0000, 0.0000, 0.1126) and H at (0.0000, 0.0000, 0.5000).

The value obtained for the raw total energy is -7.961 eV/atom. The calculation puts the total magnetic moment at 21.81 μB/cell. Its crystal system is trigonal.

---

This record from Alexandria describes a relaxed structure of EuPaH3. The functional is GGA-PBE.

The space group is Pm-3m (No. 221) and the conventional cell measures 4.2495, 4.2495 and 4.2495 Å, with angles of 90.00, 90.00 and 90.00 degrees. The distinct sites, in fractional coordinates, are Eu at (0.0000, 0.0000, 0.0000), Pa at (0.5000, 0.5000, 0.5000) and H at (0.0000, 0.5000, 0.5000).

The value obtained for the raw total energy is -6.053 eV/atom. The calculation puts the total magnetic moment at 8.09 μB/cell. Its crystal system is cubic.